VASP calculation (PBE-GGA) on crystalline NdErU at its relaxed geometry.

It has space group F-43m (No. 216), with a = 7.356 Å, b = 7.356 Å, c = 7.356 Å, α = 90.00°, β = 90.00° and γ = 90.00°. The distinct sites, in fractional coordinates, are Nd at (0.000, 0.000, 0.000), Er at (0.250, 0.250, 0.250) and U at (0.250, 0.250, 0.750).

The final energy is -67.27 eV/cell. The value obtained for the total magnetic moment is 4.33 μB/f.u. For the energy above the lowest structure with this stoichiometry, the calculation gives 0.0 kJ/mol of atoms. The calculation puts the calculated density at 9.2 Mg/m³. The calculation puts the formation energy at 1.2685 eV/atom.